1) First-principles (GGA-PBE) data for a relaxed structure of Al2Cd2As, as listed in the Alexandria database.

a b c (Å): 7.294 7.294 4.151
angles (deg): 90.00 90.00 90.00
Positions (direct):
Al 0.167 0.333 0.000
Al 0.333 0.833 0.000
Al 0.667 0.167 0.000
Al 0.833 0.667 0.000
Cd 0.139 0.639 0.500
Cd 0.361 0.139 0.500
Cd 0.639 0.861 0.500
Cd 0.861 0.361 0.500
As 0.000 0.000 0.500
As 0.500 0.500 0.500

Computed properties:
DOS(E_F), states/eV/cell: 3.4
Total magnetic moment, Bohr magnetons per cell: 0.00
Crystal system: tetragonal

=====

2) First-principles (GGA-PBE) data for a relaxed structure of Al2Cd2As, as listed in the Alexandria database.

a b c (Å): 6.700 6.700 4.815
angles (deg): 90.00 90.00 90.00
Positions (direct):
Al 0.140 0.360 0.000
Al 0.360 0.860 0.000
Al 0.640 0.140 0.000
Al 0.860 0.640 0.000
Cd 0.171 0.671 0.500
Cd 0.329 0.171 0.500
Cd 0.671 0.829 0.500
Cd 0.829 0.329 0.500
As 0.000 0.000 0.000
As 0.500 0.500 0.000

Computed properties:
DOS(E_F), states/eV/cell: 4.9
Total magnetic moment, Bohr magnetons per cell: 0.00
Crystal system: tetragonal

=====

Which of them is the least stable? Correct choice: 1).